Record 1
Crystalline PmBOs at its relaxed geometry, computed with GGA-PBE.

Geometry as CIF:
```
data_PmBOs
_chemical_formula_sum 'Pm1 B1 Os1'
_cell_length_a 4.192
_cell_length_b 4.192
_cell_length_c 4.192
_cell_angle_alpha 60.00
_cell_angle_beta 60.00
_cell_angle_gamma 60.00
_space_group_name_H-M_alt 'P 1'
_space_group_IT_number 1
_space_group_name_Hall 'P 1'
loop_
_atom_site_label
_atom_site_fract_x
_atom_site_fract_y
_atom_site_fract_z
_atom_site_occupancy
B1 0.000 0.000 0.000 1
Pm1 0.750 0.750 0.750 1
Os1 0.250 0.250 0.250 1
```

Computed properties:
Total DFT energy (no corrections), eV/atom: -7.122
V, Å³/cell: 52.1
Distance to the lowest polymorph of the same formula, eV/atom: 0.000
Crystal system: cubic

***

Record 2
Crystalline NbCo2 at its relaxed geometry, computed with GGA-PBE.

Geometry as CIF:
```
data_NbCo2
_chemical_formula_sum 'Nb8 Co16'
_cell_length_a 4.745
_cell_length_b 4.745
_cell_length_c 15.458
_cell_angle_alpha 90.00
_cell_angle_beta 90.00
_cell_angle_gamma 120.00
_space_group_name_H-M_alt 'P 1'
_space_group_IT_number 1
_space_group_name_Hall 'P 1'
loop_
_atom_site_label
_atom_site_fract_x
_atom_site_fract_y
_atom_site_fract_z
_atom_site_occupancy
Nb1 0.000 0.000 0.092 1
Nb2 0.667 0.333 0.156 1
Nb3 0.333 0.667 0.844 1
Nb4 0.667 0.333 0.344 1
Nb5 0.000 0.000 0.908 1
Nb6 0.333 0.667 0.656 1
Nb7 0.000 0.000 0.592 1
Nb8 0.000 0.000 0.408 1
Co1 0.500 0.000 0.000 1
Co2 0.670 0.835 0.250 1
Co3 0.165 0.835 0.250 1
Co4 0.333 0.667 0.126 1
Co5 0.165 0.330 0.250 1
Co6 0.330 0.165 0.750 1
Co7 0.000 0.500 0.000 1
Co8 0.667 0.333 0.626 1
Co9 0.000 0.500 0.500 1
Co10 0.835 0.670 0.750 1
Co11 0.333 0.667 0.374 1
Co12 0.835 0.165 0.750 1
Co13 0.667 0.333 0.874 1
Co14 0.500 0.500 0.000 1
Co15 0.500 0.000 0.500 1
Co16 0.500 0.500 0.500 1
```

Computed properties:
Energy of formation from the pure elements, eV per atom: -0.145
Total DFT energy (no corrections), eV/atom: -8.247
V, Å³/cell: 301.4
Crystal system: hexagonal

***

Record 3
Crystalline CsMgU at its relaxed geometry, computed with GGA-PBE.

Geometry as CIF:
```
data_CsMgU
_chemical_formula_sum 'Cs1 Mg1 U1'
_cell_length_a 5.929
_cell_length_b 5.929
_cell_length_c 5.929
_cell_angle_alpha 60.00
_cell_angle_beta 60.00
_cell_angle_gamma 60.00
_space_group_name_H-M_alt 'P 1'
_space_group_IT_number 1
_space_group_name_Hall 'P 1'
loop_
_atom_site_label
_atom_site_fract_x
_atom_site_fract_y
_atom_site_fract_z
_atom_site_occupancy
Cs1 0.250 0.250 0.250 1
U1 0.750 0.750 0.750 1
Mg1 0.000 0.000 0.000 1
```

Computed properties:
Total DFT energy (no corrections), eV/atom: -2.950
V, Å³/cell: 147.3
Distance to the lowest polymorph of the same formula, eV/atom: 0.000
Crystal system: cubic

***

Record 4
Crystalline Y2TmMg3Pt3 at its relaxed geometry, computed with GGA-PBE.

Geometry as CIF:
```
data_Y2TmMg3Pt3
_chemical_formula_sum 'Y2 Tm1 Mg3 Pt3'
_cell_length_a 4.072
_cell_length_b 7.323
_cell_length_c 7.323
_cell_angle_alpha 119.67
_cell_angle_beta 90.00
_cell_angle_gamma 90.00
_space_group_name_H-M_alt 'P 1'
_space_group_IT_number 1
_space_group_name_Hall 'P 1'
loop_
_atom_site_label
_atom_site_fract_x
_atom_site_fract_y
_atom_site_fract_z
_atom_site_occupancy
Mg1 0.500 0.000 0.754 1
Mg2 0.500 0.754 0.000 1
Mg3 0.500 0.245 0.245 1
Pt1 0.500 0.665 0.338 1
Pt2 0.000 0.996 0.996 1
Pt3 0.500 0.338 0.665 1
Tm1 0.000 0.592 0.592 1
Y1 0.000 0.000 0.410 1
Y2 0.000 0.410 0.000 1
```

Computed properties:
Total DFT energy (no corrections), eV/atom: -5.436
V, Å³/cell: 189.7
Crystal system: orthorhombic

***

Record 5
Crystalline ReAg2HgSe4 at its relaxed geometry, computed with GGA-PBE.

Geometry as CIF:
```
data_ReAg2HgSe4
_chemical_formula_sum 'Re2 Ag4 Hg2 Se8'
_cell_length_a 9.157
_cell_length_b 7.068
_cell_length_c 7.002
_cell_angle_alpha 90.00
_cell_angle_beta 90.00
_cell_angle_gamma 90.00
_space_group_name_H-M_alt 'P 1'
_space_group_IT_number 1
_space_group_name_Hall 'P 1'
loop_
_atom_site_label
_atom_site_fract_x
_atom_site_fract_y
_atom_site_fract_z
_atom_site_occupancy
Se1 0.214 0.832 0.640 1
Se2 0.714 0.168 0.140 1
Se3 0.000 0.376 0.594 1
Se4 0.000 0.726 0.184 1
Se5 0.786 0.832 0.640 1
Se6 0.500 0.274 0.684 1
Se7 0.286 0.168 0.140 1
Se8 0.500 0.624 0.094 1
Ag1 0.245 0.192 0.518 1
Ag2 0.745 0.808 0.018 1
Ag3 0.755 0.192 0.518 1
Ag4 0.255 0.808 0.018 1
Hg1 0.500 0.665 0.525 1
Hg2 0.000 0.335 0.025 1
Re1 0.000 0.700 0.517 1
Re2 0.500 0.300 0.017 1
```

Computed properties:
Total DFT energy (no corrections), eV/atom: -4.046
V, Å³/cell: 453.2
Crystal system: orthorhombic

***

Record 6
Crystalline Ge2PdSe at its relaxed geometry, computed with GGA-PBE.

Geometry as CIF:
```
data_Ge2PdSe
_chemical_formula_sum 'Ge4 Pd2 Se2'
_cell_length_a 3.589
_cell_length_b 8.060
_cell_length_c 6.115
_cell_angle_alpha 90.00
_cell_angle_beta 90.00
_cell_angle_gamma 90.00
_space_group_name_H-M_alt 'P 1'
_space_group_IT_number 1
_space_group_name_Hall 'P 1'
loop_
_atom_site_label
_atom_site_fract_x
_atom_site_fract_y
_atom_site_fract_z
_atom_site_occupancy
Ge1 0.000 0.246 0.293 1
Ge2 0.500 0.626 0.205 1
Ge3 0.000 0.754 0.793 1
Ge4 0.500 0.374 0.705 1
Se1 0.500 0.903 0.013 1
Se2 0.500 0.097 0.513 1
Pd1 0.000 0.535 0.488 1
Pd2 0.000 0.465 0.988 1
```

Computed properties:
Total DFT energy (no corrections), eV/atom: -4.688
V, Å³/cell: 176.9
Crystal system: orthorhombic

***

> What is the V in the third record?

147.3 Å³/cell